A relaxed structure of Ba3PdI, computed with PBE-GGA.

Summary:
polymorph energy (0 for the lowest one): 0.000 eV/atom
DOS at the Fermi energy: 8.3 states/eV/cell
theoretical density: 4.9 g cm⁻³

Unit cell a=4.7544 b=8.1478 c=11.3042 alpha=90.00 beta=90.00 gamma=90.00
With the nearest neighbours (Å) after each atom.
Space group Pmmn (No. 59, origin choice 2)
Asymmetric unit:
Ba (0.2500, 0.0054, 0.1462) [4 per cell]  3 Pd 3.20-3.44
Ba (0.2500, 0.2500, 0.5936) [2 per cell]  1 Pd 3.44, 2 I 3.66
Pd (0.2500, 0.2500, 0.8978) [2 per cell]  7 Ba 3.20-3.44
I (0.2500, 0.7500, 0.6521) [2 per cell]  6 Ba 3.66-3.85